# TlWSe (PBE, optimized geometry)
# Energy ... -6.141 eV per atom
# Uncorrected formation energy ... 0.13 eV per atom
# Volume ... 22.6 Å³ per atom
# SG ... P2_1/m (11)
# E above lowest polymorph ... 53 meV/atom
data_TlWSe
_space_group_name_H-M_alt 'P 1'
_space_group_IT_number 1
_cell_length_a 3.2313
_cell_length_b 4.6922
_cell_length_c 9.0744
_cell_angle_alpha 90.00
_cell_angle_beta 100.06
_cell_angle_gamma 90.00
loop_
_space_group_symop_operation_xyz
'x,y,z'
loop_
_atom_site_label
_atom_site_type_symbol
_atom_site_fract_x
_atom_site_fract_y
_atom_site_fract_z
Tl1 Tl 0.0718 0.2500 0.1365
Tl2 Tl 0.9282 0.7500 0.8635
W1 W 0.2703 0.7500 0.5417
W2 W 0.7297 0.2500 0.4583
Se1 Se 0.3368 0.2500 0.6765
Se2 Se 0.6632 0.7500 0.3235